Ce2ErTl3Se6 (PBE, relaxed); DFT total energy = -5.0377 eV/atom; magnetic moment = 2.01 μB per formula unit; crystal system = monoclinic
1.0
3.7114 -6.4248 0.0000
3.7114 6.4248 0.0000
-2.4726 0.0000 7.7421
Ce Er Tl Se
2 1 3 6
Cartesian
3.7114 4.2839 0.0000 Ce
3.7114 -4.2839 0.0000 Ce
3.7114 0.0000 0.0000 Er
-1.2363 0.0000 3.8711 Tl
2.4751 2.1499 3.8711 Tl
2.4751 -2.1499 3.8711 Tl
0.0385 2.0759 6.1480 Se
1.3129 0.0000 1.6098 Se
0.0385 -2.0759 6.1480 Se
4.9116 2.0759 1.5941 Se
3.6372 0.0000 6.1323 Se
4.9116 -2.0759 1.5941 Se